Ti3CdPd6, relaxed, DFT GGA-PBE; symmetry = P2_1/m, No. 11; electronic total energy = -122.26 eV for the cell shown; energy relative to the lowest polymorph listed for this composition = 0.000 eV/atom; formation energy = -0.54 eV/atom
1.0
7.469 0.000 0.000
0.000 4.639 0.000
-3.566 0.000 9.192
Ti Cd Pd
6 2 12
Direct
0.071 0.250 0.210
0.298 0.250 0.018
0.346 0.750 0.376
0.654 0.250 0.624
0.702 0.750 0.982
0.929 0.750 0.790
0.126 0.750 0.578
0.874 0.250 0.422
0.079 0.250 0.729
0.105 0.750 0.074
0.286 0.250 0.515
0.308 0.750 0.876
0.470 0.250 0.319
0.492 0.250 0.828
0.508 0.750 0.172
0.530 0.750 0.681
0.692 0.250 0.124
0.714 0.750 0.485
0.895 0.250 0.926
0.921 0.750 0.271

---

Ti6CdPd12, relaxed, DFT GGA-PBE; symmetry = R-3, No. 148; electronic total energy = -120.35 eV for the cell shown; formation energy = -0.51 eV/atom
1.0
6.128 3.538 2.299
-6.128 3.538 2.299
0.000 -7.076 2.299
Ti Cd Pd
6 1 12
Direct
0.084 0.369 0.590
0.369 0.590 0.084
0.410 0.916 0.631
0.590 0.084 0.369
0.631 0.410 0.916
0.916 0.631 0.410
0.000 0.000 0.000
0.112 0.735 0.170
0.170 0.112 0.735
0.204 0.478 0.332
0.265 0.830 0.888
0.332 0.204 0.478
0.478 0.332 0.204
0.522 0.668 0.796
0.668 0.796 0.522
0.735 0.170 0.112
0.796 0.522 0.668
0.830 0.888 0.265
0.888 0.265 0.830

---

Ti4CdPd5, relaxed, DFT GGA-PBE; symmetry = P4/mmm, No. 123; electronic total energy = -63.56 eV for the cell shown; energy relative to the lowest polymorph listed for this composition = 0.000 eV/atom; formation energy = -0.51 eV/atom
1.0
2.888 0.000 0.000
0.000 2.888 0.000
0.000 0.000 19.200
Ti Cd Pd
4 1 5
Direct
0.000 0.000 0.099
0.000 0.000 0.297
0.000 0.000 0.703
0.000 0.000 0.901
0.000 0.000 0.500
0.500 0.500 0.000
0.500 0.500 0.197
0.500 0.500 0.391
0.500 0.500 0.609
0.500 0.500 0.803

---

TiCd2Pd2, relaxed, DFT GGA-PBE; symmetry = I4/mmm, No. 139; electronic total energy = -22.16 eV for the cell shown; energy relative to the lowest polymorph listed for this composition = 0.000 eV/atom; formation energy = -0.41 eV/atom
1.0
-1.668 1.668 7.920
1.668 -1.668 7.920
1.668 1.668 -7.920
Ti Cd Pd
1 2 2
Direct
0.000 0.000 0.000
0.190 0.190 0.000
0.810 0.810 0.000
0.413 0.413 0.000
0.587 0.587 0.000

---

TiCd3Pd2, relaxed, DFT GGA-PBE; symmetry = P2/m, No. 10; electronic total energy = -22.56 eV for the cell shown; formation energy = -0.26 eV/atom
1.0
4.769 0.000 0.000
0.000 3.312 0.000
-2.360 0.000 6.937
Ti Cd Pd
1 3 2
Direct
0.000 0.000 0.000
0.321 0.000 0.643
0.500 0.500 0.000
0.679 0.000 0.357
0.147 0.500 0.293
0.853 0.500 0.707

---

TiCd2Pd9, relaxed, DFT GGA-PBE; symmetry = P4/mmm, No. 123; electronic total energy = -61.10 eV for the cell shown; formation energy = -0.39 eV/atom
1.0
3.975 0.000 0.000
0.000 3.975 0.000
0.000 0.000 12.134
Ti Cd Pd
1 2 9
Direct
0.000 0.000 0.000
0.000 0.000 0.332
0.000 0.000 0.668
0.000 0.500 0.156
0.000 0.500 0.500
0.000 0.500 0.844
0.500 0.000 0.156
0.500 0.000 0.500
0.500 0.000 0.844
0.500 0.500 0.000
0.500 0.500 0.326
0.500 0.500 0.674

---

Ti4CdPd, relaxed, DFT GGA-PBE; symmetry = P4/mmm, No. 123; electronic total energy = -39.17 eV for the cell shown; formation energy = -0.25 eV/atom
1.0
2.896 0.000 0.000
0.000 2.896 0.000
0.000 0.000 12.441
Ti Cd Pd
4 1 1
Direct
0.000 0.000 0.153
0.000 0.000 0.847
0.500 0.500 0.308
0.500 0.500 0.692
0.000 0.000 0.500
0.500 0.500 0.000

---

Ti2CdPdW, relaxed, DFT GGA-PBE; symmetry = P4/mmm, No. 123; electronic total energy = -28.84 eV for the cell shown; formation energy = 1.20 eV/atom
1.0
4.661 0.000 0.000
0.000 4.661 0.000
0.000 0.000 4.855
Ti Cd Pd W
2 1 1 1
Direct
0.000 0.500 0.000
0.500 0.000 0.000
0.000 0.000 0.500
0.000 0.000 0.000
0.500 0.500 0.500

---

YTi2CdPd, relaxed, DFT GGA-PBE; symmetry = P4/mmm, No. 123; electronic total energy = -22.61 eV for the cell shown; formation energy = 1.15 eV/atom
1.0
4.964 0.000 0.000
0.000 4.964 0.000
0.000 0.000 4.948
Y Ti Cd Pd
1 2 1 1
Direct
0.000 0.000 0.000
0.000 0.500 0.000
0.500 0.000 0.000
0.500 0.500 0.500
0.000 0.000 0.500

---

TiZn2Cd2Pd5, relaxed, DFT GGA-PBE; symmetry = P4/mbm, No. 127; electronic total energy = -83.45 eV for the cell shown; formation energy = -0.35 eV/atom
1.0
9.459 0.000 0.000
0.000 9.459 0.000
0.000 0.000 3.735
Ti Zn Cd Pd
2 4 4 10
Direct
0.000 0.000 0.000
0.500 0.500 0.000
0.127 0.373 0.000
0.373 0.873 0.000
0.627 0.127 0.000
0.873 0.627 0.000
0.169 0.669 0.000
0.331 0.169 0.000
0.669 0.831 0.000
0.831 0.331 0.000
0.000 0.500 0.500
0.086 0.189 0.500
0.189 0.914 0.500
0.311 0.414 0.500
0.414 0.689 0.500
0.500 0.000 0.500
0.586 0.311 0.500
0.689 0.586 0.500
0.811 0.086 0.500
0.914 0.811 0.500

---

ZrTiCdPd, relaxed, DFT GGA-PBE; symmetry = P4mm, No. 99; electronic total energy = -23.95 eV for the cell shown; energy relative to the lowest polymorph listed for this composition = 0.000 eV/atom; formation energy = -0.35 eV/atom
1.0
3.103 0.000 0.000
0.000 3.103 0.000
0.000 0.000 7.917
Zr Ti Cd Pd
1 1 1 1
Direct
0.000 0.000 0.000
0.500 0.500 0.746
0.500 0.500 0.304
0.000 0.000 0.557

---

Zr2Ti2CdPd5, relaxed, DFT GGA-PBE; symmetry = P4/mbm, No. 127; electronic total energy = -127.08 eV for the cell shown; formation energy = -0.38 eV/atom
1.0
9.441 0.000 0.000
0.000 9.441 0.000
0.000 0.000 3.981
Zr Ti Cd Pd
4 4 2 10
Direct
0.176 0.324 0.000
0.324 0.824 0.000
0.676 0.176 0.000
0.824 0.676 0.000
0.123 0.623 0.000
0.377 0.123 0.000
0.623 0.877 0.000
0.877 0.377 0.000
0.000 0.000 0.000
0.500 0.500 0.000
0.000 0.500 0.500
0.066 0.791 0.500
0.209 0.066 0.500
0.291 0.566 0.500
0.434 0.291 0.500
0.500 0.000 0.500
0.566 0.709 0.500
0.709 0.434 0.500
0.791 0.934 0.500
0.934 0.209 0.500

---

ZrTiCdPd, relaxed, DFT GGA-PBE; symmetry = F-43m, No. 216; electronic total energy = -23.23 eV for the cell shown; energy relative to the lowest polymorph listed for this composition = 0.181 eV/atom; formation energy = -0.17 eV/atom
1.0
0.000 3.368 3.368
3.368 0.000 3.368
3.368 3.368 0.000
Zr Ti Cd Pd
1 1 1 1
Direct
0.000 0.000 0.000
0.500 0.500 0.500
0.250 0.250 0.250
0.750 0.750 0.750

---

Tl6CdPd12, relaxed, DFT GGA-PBE; symmetry = R-3, No. 148; electronic total energy = -80.13 eV for the cell shown; formation energy = -0.14 eV/atom
1.0
6.073 3.506 2.830
-6.073 3.506 2.830
0.000 -7.012 2.830
Tl Cd Pd
6 1 12
Direct
0.028 0.289 0.406
0.289 0.406 0.028
0.406 0.028 0.289
0.594 0.972 0.711
0.711 0.594 0.972
0.972 0.711 0.594
0.500 0.500 0.500
0.021 0.903 0.321
0.097 0.679 0.979
0.232 0.663 0.370
0.321 0.021 0.903
0.337 0.630 0.768
0.370 0.232 0.663
0.630 0.768 0.337
0.663 0.370 0.232
0.679 0.979 0.097
0.768 0.337 0.630
0.903 0.321 0.021
0.979 0.097 0.679

---

TlCd5Pd6, relaxed, DFT GGA-PBE; symmetry = C2/m, No. 12; electronic total energy = -42.32 eV for the cell shown; formation energy = -0.35 eV/atom
1.0
4.290 -6.576 0.000
4.290 6.576 0.000
-2.247 0.000 3.778
Tl Cd Pd
1 5 6
Direct
0.000 0.000 0.000
0.171 0.829 0.500
0.335 0.665 0.000
0.500 0.500 0.500
0.665 0.335 0.000
0.829 0.171 0.500
0.082 0.416 0.249
0.249 0.249 0.749
0.416 0.082 0.249
0.584 0.918 0.751
0.751 0.751 0.251
0.918 0.584 0.751

---

Tl2CdPd6, relaxed, DFT GGA-PBE; symmetry = P-62m, No. 189; electronic total energy = -38.34 eV for the cell shown; energy relative to the lowest polymorph listed for this composition = 0.000 eV/atom; formation energy = -0.17 eV/atom
1.0
7.809 0.000 0.000
-3.904 6.762 0.000
0.000 0.000 3.005
Tl Cd Pd
2 1 6
Direct
0.333 0.667 0.000
0.667 0.333 0.000
0.000 0.000 0.500
0.000 0.363 0.500
0.000 0.701 0.000
0.299 0.299 0.000
0.363 0.000 0.500
0.637 0.637 0.500
0.701 0.000 0.000

---

TlCdPd6, relaxed, DFT GGA-PBE; symmetry = P-1, No. 2; electronic total energy = -35.46 eV for the cell shown; energy relative to the lowest polymorph listed for this composition = 0.084 eV/atom; formation energy = -0.13 eV/atom
1.0
5.196 0.000 0.000
-0.495 5.173 0.000
-0.456 -0.496 5.176
Tl Cd Pd
1 1 6
Direct
0.000 0.000 0.000
0.500 0.500 0.500
0.047 0.454 0.749
0.251 0.951 0.549
0.452 0.749 0.049
0.548 0.251 0.951
0.749 0.049 0.451
0.953 0.546 0.251

---

Tl2CdPd8, relaxed, DFT GGA-PBE; symmetry = Immm, No. 71; electronic total energy = -49.19 eV for the cell shown; energy relative to the lowest polymorph listed for this composition = 0.016 eV/atom; formation energy = -0.18 eV/atom
1.0
-2.026 4.019 6.020
2.026 -4.019 6.020
2.026 4.019 -6.020
Tl Cd Pd
2 1 8
Direct
0.156 0.156 0.000
0.844 0.844 0.000
0.500 0.500 0.000
0.083 0.333 0.750
0.255 0.000 0.255
0.332 0.832 0.500
0.417 0.667 0.750
0.583 0.333 0.250
0.668 0.168 0.500
0.745 0.000 0.745
0.917 0.667 0.250

---

TlCd2Pd, relaxed, DFT GGA-PBE; symmetry = P4/mmm, No. 123; electronic total energy = -10.01 eV for the cell shown; formation energy = -0.16 eV/atom
1.0
3.286 0.000 0.000
0.000 3.286 0.000
0.000 0.000 8.127
Tl Cd Pd
1 2 1
Direct
0.000 0.000 0.000
0.500 0.500 0.298
0.500 0.500 0.702
0.000 0.000 0.500

---

TlCd2Pd7, relaxed, DFT GGA-PBE; symmetry = Cmmm, No. 65; electronic total energy = -38.29 eV for the cell shown; formation energy = 0.23 eV/atom
1.0
3.647 -6.985 0.000
3.647 6.985 0.000
0.000 0.000 4.314
Tl Cd Pd
1 2 7
Direct
0.000 0.000 0.000
0.300 0.700 0.500
0.700 0.300 0.500
0.082 0.285 0.500
0.189 0.811 0.000
0.285 0.082 0.500
0.500 0.500 0.500
0.715 0.918 0.500
0.811 0.189 0.000
0.918 0.715 0.500